No. 1
Computed, not measured: NbHgBi2 after structural relaxation at the PBE-GGA level of DFT.

SG: F-43m

Structure (POSCAR):
```
NbHgBi2
1.0
0.000 3.694 3.694
3.694 0.000 3.694
3.694 3.694 0.000
Hg Bi Nb
1 2 1
direct
0.750 0.750 0.750
0.250 0.250 0.250
0.500 0.500 0.500
0.000 0.000 0.000
```

---

No. 2
Computed, not measured: CsCuReTe3 after structural relaxation at the PBE-GGA level of DFT.

SG: Cmcm

Structure (POSCAR):
```
CsCuReTe3
1.0
-5.248 3.415 6.280
-7.401 0.325 4.875
4.430 -6.338 7.149
Te Re Cu Cs
6 2 2 2
direct
0.939 0.939 0.750
0.607 0.607 0.961
0.607 0.607 0.539
0.061 0.061 0.250
0.393 0.393 0.039
0.393 0.393 0.461
0.000 0.000 0.500
0.000 0.000 0.000
0.534 0.534 0.750
0.466 0.466 0.250
0.244 0.244 0.750
0.756 0.756 0.250
```

---

No. 3
Computed, not measured: YTmCu2B2N2 after structural relaxation at the PBE-GGA level of DFT.

SG: P4mm

Structure (POSCAR):
```
YTmCu2B2N2
1.0
3.478 0.000 0.000
0.000 3.478 0.000
0.000 0.000 7.687
Tm N Y Cu B
1 2 1 2 2
direct
0.000 0.000 0.836
0.000 0.000 0.136
0.500 0.500 0.862
0.500 0.500 0.165
0.000 0.500 0.501
0.500 0.000 0.501
0.000 0.000 0.324
0.500 0.500 0.674
```

---

No. 4
Computed, not measured: GdZrPO after structural relaxation at the PBE-GGA level of DFT.

ΔE to the lowest computed polymorph (meV per atom): 216
SG: Pmc2_1

Structure (POSCAR):
```
GdZrPO
1.0
3.975 0.000 0.000
0.000 7.357 0.000
0.000 0.000 5.718
Gd P Zr O
2 2 2 2
direct
0.000 0.709 0.449
0.000 0.291 0.949
0.000 0.333 0.447
0.000 0.667 0.947
0.500 0.113 0.492
0.500 0.887 0.992
0.500 0.160 0.866
0.500 0.840 0.366
```

---

No. 5
Computed, not measured: Cu2SnB after structural relaxation at the PBE-GGA level of DFT.

SG: Pm-3m

Structure (POSCAR):
```
Cu2SnB
1.0
6.109 0.000 0.000
0.000 6.109 0.000
0.000 0.000 6.109
Cu Sn B
8 4 4
direct
0.203 0.797 0.797
0.797 0.797 0.797
0.797 0.203 0.203
0.203 0.203 0.797
0.797 0.797 0.203
0.203 0.797 0.203
0.797 0.203 0.797
0.203 0.203 0.203
0.500 0.500 0.500
0.000 0.500 0.500
0.500 0.500 0.000
0.500 0.000 0.500
0.500 0.000 0.000
0.000 0.500 0.000
0.000 0.000 0.500
0.000 0.000 0.000
```

---

No. 6
Computed, not measured: LaCoAgGe2 after structural relaxation at the PBE-GGA level of DFT.

SG: I-4m2

Structure (POSCAR):
```
LaCoAgGe2
1.0
1.234 -4.904 3.442
-3.641 -4.915 -0.121
2.849 3.746 -3.908
Co Ge La Ag
1 2 1 1
direct
0.750 0.250 0.500
0.379 0.379 0.000
0.621 0.621 0.000
0.000 0.000 0.000
0.250 0.750 0.500
```

---

No. 7
Computed, not measured: AcEr2O4 after structural relaxation at the PBE-GGA level of DFT.

SG: Fd-3m

Structure (POSCAR):
```
AcEr2O4
1.0
-1.513 -2.544 6.268
-3.923 5.013 -2.744
-0.205 -6.402 -2.650
O Er Ac
8 4 2
direct
0.143 0.285 0.428
0.178 0.785 0.393
0.572 0.715 0.857
0.607 0.215 0.822
0.143 0.285 0.857
0.607 0.215 0.393
0.143 0.715 0.857
0.607 0.785 0.393
0.375 0.750 0.625
0.375 0.750 0.125
0.875 0.250 0.625
0.375 0.250 0.625
0.750 0.500 0.250
0.000 0.000 0.000
```

---

No. 8
Computed, not measured: ZrCuAgB after structural relaxation at the PBE-GGA level of DFT.

ΔE to the lowest computed polymorph (meV per atom): 217
SG: F-43m

Structure (POSCAR):
```
ZrCuAgB
1.0
-3.398 -2.327 1.456
-1.731 0.876 3.914
-3.950 1.844 0.278
Ag Zr Cu B
1 1 1 1
direct
0.250 0.250 0.250
0.500 0.500 0.500
0.750 0.750 0.750
0.000 0.000 0.000
```

---

In the order shown, the computed electronic total energy values come out to -16.1; -53.9; -55.6; -61.6; -62.0; -26.0; -112.0; -19.5 eV for the cell shown.